7
Lattice="5.462 -1.851 0.000 5.462 1.851 0.000 -4.181 0.000 5.841" Properties=species:S:1:pos:R:3 comment="Pu2Cr2Ge2C, relaxed, DFT PBE" dos_ef_per_ev_atom=2.41 magnetic_moment_mub_per_cell=9.60 final_energy_ev_per_cell=-68.17 mass_density_g_cm3=10.5 delta_e_f_ev_per_atom=-0.257 pbc="T T T"
Pu -0.453 0.000 1.680
Pu 7.195 0.000 4.162
Cr -0.589 0.000 5.454
Cr 7.332 0.000 0.388
Ge 2.537 0.000 1.875
Ge 4.205 0.000 3.966
C 5.462 0.000 0.000